# Os2PbSe

Os2PbSe at its PBEsol-relaxed geometry (SCAN, the Alexandria database).

Lattice parameters (Å, degrees): 3.008 4.433 5.656 101.50 90.00 109.83
Atoms (fractional coordinates):
1 Os 0.247 0.493 0.196
2 Os 0.753 0.507 0.804
3 Pb 0.000 0.000 0.500
4 Se 0.500 0.000 0.000

Values from the calculation:
The raw formation energy comes out at 0.88 eV per atom. The total energy comes out at -59.03 eV/atom. The value obtained for the magnetic moment is 0.00 μB/f.u. Its theoretical density is 16.0 g cm⁻³. The value obtained for the density of states at the Fermi level is 2.25 states/eV/f.u. The value obtained for the excess energy over the best structure of this formula in the dataset is 0 meV/atom.